First-principles (PBE-GGA) data for an optimized crystal structure of CsGaPb2C, as listed in Alexandria.

a b c (Å): 6.329 3.691 6.329
angles (deg): 90.00 90.00 90.00
Atoms (fractional coordinates):
Pb1 0.500 0.000 0.000
Pb2 0.000 0.000 0.500
C1 0.000 0.000 0.000
Cs1 0.500 0.500 0.500
Ga1 0.000 0.500 0.000

Summary:
N(E_F)	0.590	states/eV/atom
total energy	-3.31	eV per atom
symmetry	P4/mmm, No. 123